Entry 1
The following is a DFT calculation (PBE-GGA) of a relaxed TaAlCl crystal.

The space group is P-6m2 (No. 187) and the conventional cell measures 4.5383, 4.5383 and 2.9088 Å, with angles of 90.00, 90.00 and 120.00 degrees. Symmetry generates all atoms from Ta at (0.0000, 0.0000, 0.0000), Al at (0.3333, 0.6667, 0.5000) and Cl at (0.6667, 0.3333, 0.0000).

The calculated volume is 17.3 Å³ per atom. The calculation puts the calculated density at 7.79 g/cm3.



Entry 2
The following is a DFT calculation (PBE-GGA) of a relaxed TaAlCl crystal.

The space group is F-43m (No. 216) and the conventional cell measures 6.377, 6.377 and 6.377 Å, with angles of 90.00, 90.00 and 90.00 degrees. Symmetry generates all atoms from Ta at (0.000, 0.000, 0.000), Al at (0.250, 0.250, 0.250) and Cl at (0.250, 0.250, 0.750).

The calculated volume is 21.6 Å³ per atom. The calculation puts the calculated density at 6.23 g/cm3.



Of them, entry 1 has the highest stability.



Entry 1
The following is a DFT calculation (PBE-GGA) of a relaxed TaAlCl crystal.

The space group is F-43m (No. 216) and the conventional cell measures 6.044, 6.044 and 6.044 Å, with angles of 90.00, 90.00 and 90.00 degrees. Symmetry generates all atoms from Ta at (0.000, 0.000, 0.000), Al at (0.000, 0.000, 0.500) and Cl at (0.250, 0.250, 0.750).

The calculated volume is 18.4 Å³ per atom. The calculation puts the calculated density at 7.32 g/cm3.



Entry 2
The following is a DFT calculation (PBE-GGA) of a relaxed TaAlCl crystal.

The space group is P3m1 (No. 156) and the conventional cell measures 3.0216, 3.0216 and 8.3034 Å, with angles of 90.00, 90.00 and 120.00 degrees. Symmetry generates all atoms from Ta at (0.0000, 0.0000, 0.0000), Al at (0.6667, 0.3333, 0.2750) and Cl at (0.3333, 0.6667, 0.7830).

The calculated volume is 21.9 Å³ per atom. The calculation puts the calculated density at 6.16 g/cm3.



Of them, entry 2 has the highest stability.



Entry 1
The following is a DFT calculation (PBE-GGA) of a relaxed TaAl2Cl crystal.

The space group is Pmmm (No. 47) and the conventional cell measures 2.904, 4.612 and 5.152 Å, with angles of 90.00, 90.00 and 90.00 degrees. Symmetry generates all atoms from Ta at (0.000, 0.000, 0.000), Al at (0.000, 0.500, 0.500), Al at (0.500, 0.000, 0.500) and Cl at (0.500, 0.500, 0.000).

The calculated volume is 17.2 Å³ per atom. The calculation puts the calculated density at 6.51 g/cm3.



Entry 2
The following is a DFT calculation (PBE-GGA) of a relaxed TaAl2Cl crystal.

The space group is I-4m2 (No. 119) and the conventional cell measures 3.915, 3.915 and 9.331 Å, with angles of 90.00, 90.00 and 90.00 degrees. Symmetry generates all atoms from Ta at (0.000, 0.000, 0.000), Al at (0.000, 0.000, 0.500), Al at (0.000, 0.500, 0.750) and Cl at (0.000, 0.500, 0.250).

The calculated volume is 17.9 Å³ per atom. The calculation puts the calculated density at 6.28 g/cm3.



Entry 3
The following is a DFT calculation (PBE-GGA) of a relaxed TaAl2Cl crystal.

The space group is Pm (No. 6) and the conventional cell measures 2.926, 4.790 and 5.036 Å, with angles of 90.00, 93.36 and 90.00 degrees. Symmetry generates all atoms from Ta at (0.000, 0.000, 0.000), Al at (0.502, 0.000, 0.490), Al at (0.528, 0.500, 0.139) and Cl at (0.924, 0.500, 0.654).

The calculated volume is 17.6 Å³ per atom. The calculation puts the calculated density at 6.37 g/cm3.



Entry 4
The following is a DFT calculation (PBE-GGA) of a relaxed TaAl2Cl crystal.

The space group is I-42d (No. 122) and the conventional cell measures 7.315, 7.315 and 5.508 Å, with angles of 90.00, 90.00 and 90.00 degrees. Symmetry generates all atoms from Ta at (0.000, 0.000, 0.000), Al at (0.239, 0.250, 0.625) and Cl at (0.000, 0.000, 0.500).

The calculated volume is 18.4 Å³ per atom. The calculation puts the calculated density at 6.09 g/cm3.



Of them, entry 3 has the highest stability.



Entry 1
The following is a DFT calculation (PBE-GGA) of a relaxed TaAlCl3 crystal.

The space group is Pm-3m (No. 221) and the conventional cell measures 4.921, 4.921 and 4.921 Å, with angles of 90.00, 90.00 and 90.00 degrees. Symmetry generates all atoms from Ta at (0.000, 0.000, 0.000), Al at (0.500, 0.500, 0.500) and Cl at (0.000, 0.000, 0.500).

The calculated volume is 23.8 Å³ per atom. The calculation puts the calculated density at 4.38 g/cm3.



Entry 2
The following is a DFT calculation (PBE-GGA) of a relaxed TaAlCl3 crystal.

The space group is Pm-3m (No. 221) and the conventional cell measures 4.886, 4.886 and 4.886 Å, with angles of 90.00, 90.00 and 90.00 degrees. Symmetry generates all atoms from Ta at (0.000, 0.000, 0.000), Al at (0.500, 0.500, 0.500) and Cl at (0.000, 0.500, 0.500).

The calculated volume is 23.3 Å³ per atom. The calculation puts the calculated density at 4.47 g/cm3.



Of them, entry 1 has the highest stability.



Entry 1
The following is a DFT calculation (PBE-GGA) of a relaxed Tb2AlCl crystal.

The space group is R3m (No. 160, hexagonal axes) and the conventional cell measures 3.6160, 3.6160 and 25.9021 Å, with angles of 90.00, 90.00 and 120.00 degrees. Symmetry generates all atoms from Tb at (0.0000, 0.0000, 0.0000), Tb at (0.0000, 0.0000, 0.1675), Al at (0.0000, 0.0000, 0.5837) and Cl at (0.0000, 0.0000, 0.7522).

The calculated volume is 24.4 Å³ per atom. The calculation puts the calculated density at 6.46 g/cm3.



Entry 2
The following is a DFT calculation (PBE-GGA) of a relaxed Tb2AlCl crystal.

The space group is R-3m (No. 166, hexagonal axes) and the conventional cell measures 3.6743, 3.6743 and 25.3086 Å, with angles of 90.00, 90.00 and 120.00 degrees. Symmetry generates all atoms from Tb at (0.0000, 0.0000, 0.2494), Al at (0.0000, 0.0000, 0.5000) and Cl at (0.0000, 0.0000, 0.0000).

The calculated volume is 24.7 Å³ per atom. The calculation puts the calculated density at 6.40 g/cm3.



Entry 3
The following is a DFT calculation (PBE-GGA) of a relaxed Tb2AlCl crystal.

The space group is P4/mmm (No. 123) and the conventional cell measures 3.377, 3.377 and 8.259 Å, with angles of 90.00, 90.00 and 90.00 degrees. Symmetry generates all atoms from Tb at (0.000, 0.000, 0.234), Al at (0.500, 0.500, 0.000) and Cl at (0.500, 0.500, 0.500).

The calculated volume is 23.5 Å³ per atom. The calculation puts the calculated density at 6.71 g/cm3.



Of them, entry 1 has the highest stability.